Below is a relaxed structure of CsMg3Rh, with properties calculated at the GGA-PBEsol level.

The space group is Pm-3m (No. 221) and the conventional cell measures 5.960, 5.960 and 5.960 Å, with angles of 90.00, 90.00 and 90.00 degrees. The asymmetric unit holds Cs at (0.000, 0.000, 0.000), Mg at (0.000, 0.000, 0.500) and Rh at (0.500, 0.500, 0.500).

As for the density of states at the Fermi level: 9.088 states/eV/cell. Its formation enthalpy at 0 K is 10.1 eV per formula unit. As for the total energy: -0.824 eV per atom.